No. 1
The following is a DFT calculation (PBE) of an optimized crystal structure of Mg2PaHg3.

Structure (POSCAR):
```
Mg2PaHg3
1.0
-1.011 1.365 -2.850
-1.721 -2.748 -0.705
-9.759 4.653 5.689
Mg Hg Pa
2 3 1
direct
0.500 0.500 0.842 Mg
0.500 0.500 0.158 Mg
0.000 0.000 0.686 Hg
0.000 0.000 0.314 Hg
0.000 0.000 0.000 Hg
0.500 0.500 0.500 Pa
```

Values from the calculation:
Calculated formation energy ... -0.113 eV per atom
Total moment ... 0.19 μB per atom
Space-group type ... P4/mmm (123)

---

No. 2
The following is a DFT calculation (PBE) of an optimized crystal structure of SrPRuAu.

Structure (POSCAR):
```
SrPRuAu
1.0
3.788 0.002 -0.001
-1.515 4.652 -0.010
-1.644 -1.924 5.143
P Sr Ru Au
1 1 1 1
direct
0.591 0.463 0.373 P
0.032 0.706 0.020 Sr
0.091 0.320 0.508 Ru
0.502 0.957 0.634 Au
```

Values from the calculation:
Calculated formation energy ... -0.329 eV per atom
Total moment ... 0.00 μB per atom
Space-group type ... P1 (1)

---

No. 3
The following is a DFT calculation (PBE) of an optimized crystal structure of PmTmCuAs.

Structure (POSCAR):
```
PmTmCuAs
1.0
4.994 0.000 0.000
2.497 4.325 0.000
2.497 1.442 4.078
As Cu Pm Tm
1 1 1 1
direct
0.500 0.500 0.500 As
0.000 0.000 0.000 Cu
0.250 0.250 0.250 Pm
0.750 0.750 0.750 Tm
```

Values from the calculation:
Calculated formation energy ... -0.565 eV per atom
Total moment ... 0.00 μB per atom
Space-group type ... F-43m (216)

---

No. 4
The following is a DFT calculation (PBE) of an optimized crystal structure of Ba2TlRu2.

Structure (POSCAR):
```
Ba2TlRu2
1.0
3.601 0.000 0.000
0.000 3.601 0.000
1.800 1.800 11.128
Ba Ru Tl
2 2 1
direct
0.378 0.378 0.245 Ba
0.622 0.622 0.755 Ba
0.750 0.250 0.500 Ru
0.250 0.750 0.500 Ru
0.000 0.000 0.000 Tl
```

Values from the calculation:
Calculated formation energy ... 0.292 eV per atom
Total moment ... 0.00 μB per atom
Space-group type ... I4/mmm (139)

---

No. 5
The following is a DFT calculation (PBE) of an optimized crystal structure of NdGa3Ge3.

Structure (POSCAR):
```
NdGa3Ge3
1.0
-1.177 6.607 -1.985
-6.754 -1.515 -1.037
-1.408 1.741 6.631
Ga Ge Nd
6 6 2
direct
0.250 0.500 0.000 Ga
0.000 0.250 0.500 Ga
0.750 0.500 0.000 Ga
0.500 0.000 0.750 Ga
0.000 0.750 0.500 Ga
0.500 0.000 0.250 Ga
0.500 0.750 0.000 Ge
0.500 0.250 0.000 Ge
0.000 0.500 0.250 Ge
0.750 0.000 0.500 Ge
0.250 0.000 0.500 Ge
0.000 0.500 0.750 Ge
0.000 0.000 0.000 Nd
0.500 0.500 0.500 Nd
```

Values from the calculation:
Calculated formation energy ... 0.075 eV per atom
Total moment ... 0.00 μB per atom
Space-group type ... Pm-3n (223)

---

No. 6
The following is a DFT calculation (PBE) of an optimized crystal structure of Al2MoCl.

Structure (POSCAR):
```
Al2MoCl
1.0
-2.959 0.168 -0.267
1.235 -1.992 1.834
-0.295 6.702 7.476
Mo Al Cl
1 2 1
direct
0.500 0.500 0.752 Mo
0.000 0.000 0.975 Al
0.500 0.500 0.211 Al
0.000 0.000 0.562 Cl
```

Values from the calculation:
Total moment ... 0.12 μB per atom
E_form (uncorrected) ... 0.500 eV/f.u.
Space-group type ... Cmm2 (35)

---

No. 7
The following is a DFT calculation (PBE) of an optimized crystal structure of AcSi.

Structure (POSCAR):
```
AcSi
1.0
-1.855 -3.196 -2.687
-3.121 -2.877 1.692
-4.369 0.354 -1.289
Ac Si
1 1
direct
0.500 0.500 0.500 Ac
0.000 0.000 0.000 Si
```

Values from the calculation:
Total moment ... 0.00 μB per atom
E_form (uncorrected) ... -0.558 eV/f.u.
Space-group type ... Fm-3m (225)

---

No. 8
The following is a DFT calculation (PBE) of an optimized crystal structure of PaCdGaN.

Structure (POSCAR):
```
PaCdGaN
1.0
4.118 0.000 0.000
0.000 4.118 0.000
0.000 0.000 8.681
Pa N Cd Ga
2 2 2 2
direct
0.000 0.500 0.876 Pa
0.500 0.000 0.124 Pa
0.500 0.500 0.000 N
0.000 0.000 0.000 N
0.000 0.000 0.500 Cd
0.500 0.500 0.500 Cd
0.000 0.500 0.284 Ga
0.500 0.000 0.716 Ga
```

Values from the calculation:
Total moment ... 0.00 μB per atom
E_form (uncorrected) ... -3.192 eV/f.u.
Space-group type ... P4/nmm (129)